(1)
A crystal of Mg2ReSiI relaxed with PBEsol. Source: Alexandria, functional SCAN.

The structure in POSCAR format:
```
Mg2ReSiI
1.0
4.845 0.000 0.000
0.000 5.216 0.000
0.000 0.000 5.216
Re Mg Si I
1 2 1 1
Cartesian
2.422 0.000 0.000
0.000 2.608 0.000
0.000 0.000 2.608
2.422 2.608 2.608
0.000 0.000 0.000
```

Summary:
uncorrected energy	-117.93	eV per cell
ρ	4.91	Mg/m³
size of the total moment	0.00	μB/f.u.
SG	P4/mmm (123)
ΔE_f (raw)	9.87	eV per formula unit


(2)
A crystal of ScCd2In relaxed with PBEsol. Source: Alexandria, functional SCAN.

The structure in POSCAR format:
```
ScCd2In
1.0
-1.353 0.379 2.901
-3.034 -0.967 0.502
1.867 -9.223 3.866
Sc Cd In
1 2 1
Cartesian
0.000 0.000 0.000
-0.654 -2.386 1.797
-1.865 -7.425 5.473
-1.259 -4.906 3.635
```

Summary:
uncorrected energy	-108.70	eV per cell
ρ	7.10	Mg/m³
formation enthalpy at 0 K	-60.9	meV per atom
size of the total moment	0.00	μB/f.u.
SG	R-3m (166)


(3)
A crystal of Mo2WAu relaxed with PBEsol. Source: Alexandria, functional SCAN.

The structure in POSCAR format:
```
Mo2WAu
1.0
3.307 0.000 0.000
0.000 3.307 0.000
0.000 0.000 5.768
Mo W Au
2 1 1
Cartesian
1.653 1.653 1.435
0.000 0.000 0.089
0.000 0.000 2.803
1.653 1.653 4.326
```

Summary:
uncorrected energy	-207.61	eV per cell
ρ	15.08	Mg/m³
formation enthalpy at 0 K	252.2	meV per atom
size of the total moment	0.00	μB/f.u.
energy above the most stable polymorph in this dataset	134	meV per atom
SG	P4mm (99)


(4)
A crystal of Y5As3 relaxed with PBEsol. Source: Alexandria, functional SCAN.

The structure in POSCAR format:
```
Y5As3
1.0
6.022 0.000 0.000
0.000 8.402 0.000
0.000 -4.201 7.277
Y As
10 6
Cartesian
0.000 4.201 2.426
4.517 -1.053 1.824
1.506 -3.148 5.452
3.011 4.201 2.426
1.506 6.296 0.000
3.011 0.000 4.851
1.506 1.053 1.824
0.000 0.000 4.851
4.517 2.107 0.000
4.517 3.148 5.452
4.517 -2.575 4.460
1.506 -1.626 2.816
4.517 5.150 0.000
4.517 1.626 2.816
1.506 3.252 0.000
1.506 2.575 4.460
```

Summary:
uncorrected energy	-419.57	eV per cell
ρ	6.04	Mg/m³
formation enthalpy at 0 K	-1249.6	meV per atom
size of the total moment	1.15	μB/f.u.
SG	P6_3/mcm (193)


(5)
A crystal of Ca2TaMn relaxed with PBEsol. Source: Alexandria, functional SCAN.

The structure in POSCAR format:
```
Ca2TaMn
1.0
-2.224 2.169 1.121
-1.927 0.627 -5.036
-1.187 -5.148 2.739
Ca Mn Ta
2 1 1
Cartesian
-2.995 -1.080 1.012
-5.255 -2.256 -1.196
-2.300 1.140 -1.904
-2.202 -1.110 -2.221
```

Summary:
uncorrected energy	-101.76	eV per cell
ρ	5.82	Mg/m³
formation enthalpy at 0 K	602.1	meV per atom
size of the total moment	0.00	μB/f.u.
energy above the most stable polymorph in this dataset	0	meV per atom
SG	Imm2 (44)


(6)
A crystal of Tc2TeSe relaxed with PBEsol. Source: Alexandria, functional SCAN.

The structure in POSCAR format:
```
Tc2TeSe
1.0
3.831 0.000 0.000
0.000 3.831 0.000
-1.916 -1.916 4.503
Tc Te Se
2 1 1
Cartesian
0.000 0.000 0.000
1.916 0.000 2.251
1.916 1.916 0.000
0.000 1.916 2.251
```

Summary:
uncorrected energy	-124.65	eV per cell
ρ	10.12	Mg/m³
size of the total moment	0.00	μB/f.u.
energy above the most stable polymorph in this dataset	648	meV per atom
SG	I-4m2 (119)
ΔE_f (raw)	2.80	eV per formula unit


(7)
A crystal of MnCI2N relaxed with PBEsol. Source: Alexandria, functional SCAN.

The structure in POSCAR format:
```
MnCI2N
1.0
-1.827 -1.740 0.825
4.596 -2.960 3.935
-1.661 4.136 5.050
C I Mn N
1 2 1 1
Cartesian
0.000 0.000 0.000
-0.830 2.068 2.525
2.298 -1.480 1.968
0.554 -0.282 4.905
-0.913 -0.870 0.412
```

Summary:
uncorrected energy	-105.83	eV per cell
ρ	4.62	Mg/m³
size of the total moment	5.15	μB/f.u.
SG	P4/mmm (123)
ΔE_f (raw)	5.30	eV per formula unit


(8)
A crystal of KZr2Ni relaxed with PBEsol. Source: Alexandria, functional SCAN.

The structure in POSCAR format:
```
KZr2Ni
1.0
-2.490 -1.678 -2.846
-2.648 -1.116 2.976
0.292 5.564 -0.529
K Zr Ni
1 2 1
Cartesian
-2.569 -1.397 0.065
-2.384 1.245 -1.655
0.000 0.000 0.000
-2.463 1.526 1.256
```

Summary:
uncorrected energy	-81.74	eV per cell
ρ	5.70	Mg/m³
formation enthalpy at 0 K	1039.8	meV per atom
size of the total moment	0.02	μB/f.u.
energy above the most stable polymorph in this dataset	768	meV per atom
SG	I-4m2 (119)


(9)
A crystal of CrRu2Cl relaxed with PBEsol. Source: Alexandria, functional SCAN.

The structure in POSCAR format:
```
CrRu2Cl
1.0
-2.252 0.903 -1.465
-1.553 -4.345 0.419
-0.001 2.745 4.081
Cl Ru Cr
1 2 1
Cartesian
-1.126 0.451 -0.732
-1.903 -0.349 1.518
-0.001 1.372 2.040
-0.777 -2.173 0.210
```

Summary:
uncorrected energy	-93.19	eV per cell
ρ	8.82	Mg/m³
size of the total moment	2.37	μB/f.u.
energy above the most stable polymorph in this dataset	324	meV per atom
SG	C2/m (12)
ΔE_f (raw)	2.82	eV per formula unit


(10)
A crystal of CsHg2Sb2 relaxed with PBEsol. Source: Alexandria, functional SCAN.

The structure in POSCAR format:
```
CsHg2Sb2
1.0
-1.862 1.701 4.270
-3.623 -3.377 -0.235
6.289 -3.185 1.132
Hg Cs Sb
2 1 2
Cartesian
-1.952 -1.735 2.719
2.756 -3.127 2.448
0.000 0.000 0.000
0.842 -1.161 3.709
-0.038 -3.700 1.457
```

Summary:
uncorrected energy	-249.80	eV per cell
ρ	8.44	Mg/m³
size of the total moment	0.00	μB/f.u.
SG	I4/mmm (139)
ΔE_f (raw)	-1.14	eV per formula unit


(11)
A crystal of MgAsH3 relaxed with PBEsol. Source: Alexandria, functional SCAN.

The structure in POSCAR format:
```
MgAsH3
1.0
3.772 0.000 0.000
0.000 3.772 0.000
0.000 0.000 3.772
H As Mg
3 1 1
Cartesian
1.886 0.000 0.000
0.000 0.000 1.886
0.000 1.886 0.000
0.000 0.000 0.000
1.886 1.886 1.886
```

Summary:
uncorrected energy	-32.82	eV per cell
ρ	3.16	Mg/m³
size of the total moment	0.00	μB/f.u.
SG	Pm-3m (221)


(12)
A crystal of Te2MoRu relaxed with PBEsol. Source: Alexandria, functional SCAN.

The structure in POSCAR format:
```
Te2MoRu
1.0
4.642 0.000 0.000
2.321 4.020 0.000
2.321 1.340 3.790
Te Ru Mo
2 1 1
Cartesian
2.321 1.340 0.947
6.962 4.020 2.842
4.642 2.680 1.895
0.000 0.000 0.000
```

Summary:
uncorrected energy	-142.85	eV per cell
ρ	10.62	Mg/m³
size of the total moment	0.00	μB/f.u.
energy above the most stable polymorph in this dataset	47	meV per atom
SG	Fm-3m (225)
ΔE_f (raw)	1.36	eV per formula unit


(13)
A crystal of CsNa2Te2 relaxed with PBEsol. Source: Alexandria, functional SCAN.

The structure in POSCAR format:
```
CsNa2Te2
1.0
-1.367 3.284 -0.147
-2.214 -0.513 9.099
8.372 3.585 2.240
Na Te Cs
4 4 2
Cartesian
6.511 2.952 5.401
2.890 1.291 1.960
3.268 1.781 9.379
-0.353 0.120 5.938
4.772 4.270 7.888
0.235 2.396 8.207
4.555 3.960 2.985
0.019 2.086 3.303
3.079 1.536 5.669
0.000 0.000 0.000
```

Summary:
uncorrected energy	-251.26	eV per cell
ρ	4.60	Mg/m³
size of the total moment	0.00	μB/f.u.
SG	P4/mbm (127)
ΔE_f (raw)	-4.89	eV per formula unit


(14)
A crystal of CoCuRu relaxed with PBEsol. Source: Alexandria, functional SCAN.

The structure in POSCAR format:
```
CoCuRu
1.0
-0.060 -2.481 0.016
3.156 -0.060 2.509
-3.750 0.099 1.479
Cu Ru Co
1 1 1
Cartesian
-1.497 -2.024 1.835
0.834 -0.834 2.171
-0.050 -2.065 0.013
```

Summary:
uncorrected energy	-66.28	eV per cell
ρ	10.62	Mg/m³
formation enthalpy at 0 K	350.8	meV per atom
size of the total moment	2.52	μB/f.u.
energy above the most stable polymorph in this dataset	0	meV per atom
SG	P-6m2 (187)


(15)
A crystal of BeAlSb2 relaxed with PBEsol. Source: Alexandria, functional SCAN.

The structure in POSCAR format:
```
BeAlSb2
1.0
4.714 0.000 0.000
-2.357 4.282 0.044
0.000 2.553 3.962
Al Sb Be
1 2 1
Cartesian
2.357 1.277 1.981
0.000 2.780 1.013
2.357 4.056 2.994
0.000 0.000 0.000
```

Summary:
uncorrected energy	-84.64	eV per cell
ρ	5.84	Mg/m³
size of the total moment	0.00	μB/f.u.
energy above the most stable polymorph in this dataset	434	meV per atom
SG	I4/mmm (139)
ΔE_f (raw)	1.98	eV per formula unit


(16)
A crystal of CaTeO3 relaxed with PBEsol. Source: Alexandria, functional SCAN.

The structure in POSCAR format:
```
CaTeO3
1.0
-1.252 5.318 -1.498
-3.240 -2.788 -7.189
-7.922 0.395 8.022
O Te Ca
18 6 6
Cartesian
-1.200 -0.054 -1.333
-4.075 3.174 -0.424
-8.870 -0.284 3.638
-6.532 0.248 4.909
-10.360 -1.646 1.394
-2.282 1.047 0.850
-7.700 3.235 -3.500
-7.202 0.451 -2.603
-7.732 2.453 3.864
-10.839 1.385 1.117
-8.226 -0.731 -0.105
-3.241 1.923 -3.941
-5.423 0.729 -5.025
-4.125 -1.893 -3.863
-1.594 2.617 -1.508
-10.064 1.589 -1.434
-5.781 4.891 1.258
-5.339 2.347 2.087
-5.723 3.202 0.459
-6.647 -0.464 -1.071
-5.115 2.222 -3.919
-9.990 2.711 0.076
-7.301 0.710 3.252
-2.637 1.121 -0.997
-9.496 3.885 4.229
-3.085 -0.250 -5.094
-2.097 4.495 -0.192
-5.904 4.205 3.675
-6.523 -1.221 -4.357
-10.531 -0.659 -0.730
```

Summary:
uncorrected energy	-457.97	eV per cell
ρ	4.29	Mg/m³
size of the total moment	0.00	μB/f.u.
SG	P2_1 (4)
ΔE_f (raw)	-10.72	eV per formula unit


(17)
A crystal of TaMoI3 relaxed with PBEsol. Source: Alexandria, functional SCAN.

The structure in POSCAR format:
```
TaMoI3
1.0
-1.547 0.146 5.049
-2.130 -4.806 -0.514
4.580 -2.186 1.467
Ta I Mo
1 3 1
Cartesian
0.451 -3.423 3.001
-0.774 0.073 2.524
2.290 -1.093 0.733
-1.065 -2.403 -0.257
0.000 0.000 0.000
```

Summary:
uncorrected energy	-204.19	eV per cell
ρ	7.41	Mg/m³
size of the total moment	7.05	μB/f.u.
SG	Pm-3m (221)
ΔE_f (raw)	7.50	eV per formula unit


(18)
A crystal of NaTaRh2W relaxed with PBEsol. Source: Alexandria, functional SCAN.

The structure in POSCAR format:
```
NaTaRh2W
1.0
-1.975 2.195 -3.512
-1.719 -3.975 -1.517
-3.891 0.684 2.616
Na Rh Ta W
1 2 1 1
Cartesian
-1.946 0.342 1.308
-0.988 1.097 -1.756
-0.859 -1.987 -0.759
-3.793 -0.548 -1.206
0.000 0.000 0.000
```

Summary:
uncorrected energy	-198.95	eV per cell
ρ	9.88	Mg/m³
formation enthalpy at 0 K	1815.7	meV per atom
size of the total moment	0.60	μB/f.u.
SG	P4/mmm (123)


(19)
A crystal of La2AgRh2 relaxed with PBEsol. Source: Alexandria, functional SCAN.

The structure in POSCAR format:
```
La2AgRh2
1.0
-3.238 3.095 -2.932
-2.191 -3.080 4.056
-1.710 2.429 4.453
La Ag Rh
2 1 2
Cartesian
-4.807 2.603 3.169
-2.333 -0.159 2.408
0.000 0.000 0.000
-3.696 0.583 4.698
-3.443 1.861 0.880
```

Summary:
uncorrected energy	-187.60	eV per cell
ρ	8.46	Mg/m³
formation enthalpy at 0 K	-495.9	meV per atom
size of the total moment	0.00	μB/f.u.
energy above the most stable polymorph in this dataset	128	meV per atom
SG	I4/mmm (139)


(20)
A crystal of K2AsPb relaxed with PBEsol. Source: Alexandria, functional SCAN.

The structure in POSCAR format:
```
K2AsPb
1.0
-0.796 5.359 1.155
-5.144 1.979 0.558
-1.860 1.510 4.994
K As Pb
2 1 1
Cartesian
0.000 0.000 0.000
-5.850 6.636 5.030
-3.900 4.424 3.353
-1.950 2.212 1.677
```

Summary:
uncorrected energy	-113.37	eV per cell
ρ	4.98	Mg/m³
formation enthalpy at 0 K	-185.2	meV per atom
size of the total moment	0.00	μB/f.u.
energy above the most stable polymorph in this dataset	245	meV per atom
SG	F-43m (216)